Entry P
VASP calculation (PBE) on a relaxed CePrO2 crystal.

The structure in extended XYZ format:
```
4
Lattice="3.515 0.000 0.000 1.757 3.044 0.000 1.757 1.015 6.175" Properties=species:S:1:pos:R:3 pbc="T T T"
Pr 3.515 2.029 3.173
O 1.757 1.015 1.502
O 1.757 1.015 4.672
Ce 5.272 3.044 6.091
```


Entry Q
VASP calculation (PBE) on a relaxed CePrO2 crystal.

The structure in extended XYZ format:
```
4
Lattice="-5.429 1.804 -2.354 -3.692 0.099 -4.964 -5.402 -1.764 -2.445" Properties=species:S:1:pos:R:3 pbc="T T T"
O -10.829 0.104 -7.280
O -3.694 0.035 -2.483
Pr -7.262 0.069 -4.882
Ce 0.000 0.000 0.000
```


entry Q ends up most stable, edging out the next structure by 0.169 eV/atom.


Entry P
VASP calculation (PBE) on a relaxed Ce2PtO crystal.

The structure in extended XYZ format:
```
4
Lattice="-1.522 2.600 -2.295 0.968 0.094 -3.661 -5.116 -3.232 -3.394" Properties=species:S:1:pos:R:3 pbc="T T T"
Pt -2.835 -0.269 -4.675
O 0.000 0.000 0.000
Ce -4.460 -0.577 -7.072
Ce -1.211 0.039 -2.278
```


Entry Q
VASP calculation (PBE) on a relaxed Ce2PtO crystal.

The structure in extended XYZ format:
```
4
Lattice="-1.297 -1.609 -2.323 2.819 -0.917 -0.939 -0.471 -5.886 4.340" Properties=species:S:1:pos:R:3 pbc="T T T"
Ce -0.101 -1.262 0.931
Ce -0.370 -4.624 3.410
Pt 0.525 -4.206 0.539
O 0.761 -1.263 -1.631
```


Entry R
VASP calculation (PBE) on a relaxed Ce2PtO crystal.

The structure in extended XYZ format:
```
16
Lattice="5.521 0.000 0.000 0.000 6.128 -0.030 0.000 -0.940 10.280" Properties=species:S:1:pos:R:3 pbc="T T T"
Ce 1.428 2.307 4.186
Ce 4.093 2.881 6.064
Ce 4.093 4.902 9.312
Ce 1.428 0.287 0.939
Ce 1.264 2.425 8.775
Ce 1.264 5.358 6.600
Ce 4.257 -0.169 3.650
Ce 4.257 2.764 1.475
Pt 4.026 -0.166 6.638
Pt 1.495 3.368 1.483
Pt 4.026 1.820 8.768
Pt 1.495 5.354 3.613
O 4.504 2.139 3.875
O 4.504 0.455 1.250
O 1.016 3.050 6.375
O 1.016 4.733 9.000
```


entry R ends up most stable, edging out the next structure by 0.024 eV/atom.


Entry P
VASP calculation (PBE) on a relaxed Ce2SO crystal.

The structure in extended XYZ format:
```
4
Lattice="-1.205 2.658 2.329 0.141 -0.548 3.691 5.408 3.185 2.155" Properties=species:S:1:pos:R:3 pbc="T T T"
Ce 0.905 1.246 2.039
Ce 3.440 4.050 6.136
O 0.000 0.000 0.000
S 2.172 2.648 4.087
```


Entry Q
VASP calculation (PBE) on a relaxed Ce2SO crystal.

The structure in extended XYZ format:
```
4
Lattice="-2.835 -0.060 -2.315 0.580 -0.373 -3.595 -1.127 -6.843 -1.336" Properties=species:S:1:pos:R:3 pbc="T T T"
Ce -0.850 -1.908 -1.803
Ce -1.027 -5.061 -1.505
O -1.693 -3.675 -3.619
S -2.628 -7.114 -5.277
```


Entry R
VASP calculation (PBE) on a relaxed Ce2SO crystal.

The structure in extended XYZ format:
```
4
Lattice="-1.224 2.237 2.084 1.942 -1.165 2.391 4.753 4.263 -1.785" Properties=species:S:1:pos:R:3 pbc="T T T"
S 2.736 2.667 1.345
O 0.359 0.536 2.237
Ce 1.100 0.986 -0.413
Ce 3.654 3.276 -1.372
```


Entry S
VASP calculation (PBE) on a relaxed Ce2SO crystal.

The structure in extended XYZ format:
```
16
Lattice="-1.277 -1.680 -4.992 4.608 -2.844 -0.222 -4.932 -8.308 4.058" Properties=species:S:1:pos:R:3 pbc="T T T"
O 0.568 -9.296 -1.429
O -2.969 -9.952 -0.304
O -2.169 -3.536 0.274
O 1.368 -2.880 -0.852
S -1.574 -2.298 -3.237
S -1.098 -7.034 1.177
S -0.027 -10.534 2.081
S -0.503 -5.798 -2.333
Ce -0.590 -11.247 -0.476
Ce -3.327 -5.486 1.227
Ce -2.406 -9.238 2.254
Ce -1.011 -1.585 -0.679
Ce 1.726 -7.346 -2.382
Ce -1.811 -8.001 -1.256
Ce 0.210 -4.831 0.101
Ce 0.805 -3.594 -3.409
```


entry P ends up most stable, edging out the next structure by 0.068 eV/atom.


Entry P
VASP calculation (PBE) on a relaxed Ce3SbO3 crystal.

The structure in extended XYZ format:
```
14
Lattice="6.901 0.000 0.000 3.450 5.976 0.000 3.450 1.992 7.538" Properties=species:S:1:pos:R:3 pbc="T T T"
O 8.010 6.013 4.664
O 9.213 4.038 2.874
O 5.791 1.955 2.874
O 8.103 2.009 4.664
O 4.589 3.930 4.664
O 5.698 5.960 2.874
Ce 7.975 5.984 2.296
Ce 5.826 1.985 5.241
Ce 4.632 3.915 2.296
Ce 8.095 2.054 2.296
Ce 5.706 5.914 5.241
Ce 9.170 4.053 5.241
Sb 6.901 3.984 0.003
Sb 6.901 3.984 7.534
```


Entry Q
VASP calculation (PBE) on a relaxed Ce3SbO3 crystal.

The structure in extended XYZ format:
```
14
Lattice="3.868 0.000 0.000 0.000 14.973 -8.334 0.000 -4.591 7.834" Properties=species:S:1:pos:R:3 pbc="T T T"
O 0.967 11.800 -5.141
O 0.967 8.641 -4.323
O 2.901 -1.418 4.641
O 2.901 1.741 3.822
O 2.901 10.813 -2.712
O 0.967 -0.431 2.212
Ce 0.967 5.286 1.580
Ce 2.901 5.096 -2.081
Ce 2.901 13.200 -5.992
Ce 0.967 1.709 2.567
Ce 2.901 8.673 -3.067
Ce 0.967 -2.818 5.492
Sb 2.901 2.996 0.315
Sb 0.967 7.386 -0.816
```


entry P ends up most stable, edging out the next structure by 0.085 eV/atom.


Entry P
VASP calculation (PBE) on a relaxed CeSc2O crystal.

The structure in extended XYZ format:
```
4
Lattice="2.925 0.000 0.000 0.000 2.925 0.000 0.000 0.000 8.299" Properties=species:S:1:pos:R:3 pbc="T T T"
Sc 0.000 0.000 1.413
Sc 0.000 0.000 6.886
Ce 1.463 1.463 4.150
O 1.463 1.463 0.000
```


Entry Q
VASP calculation (PBE) on a relaxed CeSc2O crystal.

The structure in extended XYZ format:
```
4
Lattice="3.135 0.000 0.000 1.568 2.715 0.000 1.568 0.905 8.691" Properties=species:S:1:pos:R:3 pbc="T T T"
Sc 4.703 2.715 3.068
Sc 1.568 0.905 5.623
O 3.135 1.810 4.346
Ce 0.000 0.000 0.000
```


entry Q ends up most stable, edging out the next structure by 0.450 eV/atom.